(1)
Entry from the Alexandria database: crystalline CsSrP2O6 at its relaxed geometry (PBE).

- E_form (uncorrected) (meV per atom) = -2201
- size of the total moment (μB per atom) = 0.05

Cell lengths 7.511, 7.511, 6.322 Å; angles 100.51, 100.51, 90.42 degrees
Element x y z (fractional)
Cs1 0.179 0.821 0.750
Cs2 0.821 0.179 0.250
Sr1 0.378 0.622 0.250
Sr2 0.622 0.378 0.750
P1 0.153 0.299 0.776
P2 0.299 0.153 0.276
P3 0.701 0.847 0.724
P4 0.847 0.701 0.224
O1 0.039 0.632 0.258
O2 0.163 0.195 0.070
O3 0.195 0.163 0.570
O4 0.307 0.447 0.861
O5 0.368 0.961 0.242
O6 0.447 0.307 0.361
O7 0.553 0.693 0.639
O8 0.632 0.039 0.758
O9 0.693 0.553 0.139
O10 0.805 0.837 0.430
O11 0.837 0.805 0.930
O12 0.961 0.368 0.742

(2)
Entry from the Alexandria database: crystalline Tb4PrErSe8 at its relaxed geometry (PBE).

- E_form (uncorrected) (meV per atom) = -1716
- size of the total moment (μB per atom) = 0.00

Cell lengths 8.478, 8.478, 8.478 Å; angles 60.16, 60.16, 60.16 degrees
Element x y z (fractional)
Tb1 0.000 0.000 0.000
Tb2 0.122 0.625 0.625
Tb3 0.625 0.122 0.625
Tb4 0.625 0.625 0.122
Pr1 0.249 0.249 0.249
Er1 0.625 0.625 0.625
Se1 0.385 0.385 0.385
Se2 0.388 0.388 0.840
Se3 0.388 0.840 0.388
Se4 0.397 0.865 0.865
Se5 0.840 0.388 0.388
Se6 0.865 0.397 0.865
Se7 0.865 0.865 0.397
Se8 0.868 0.868 0.868

(3)
Entry from the Alexandria database: crystalline Li2GeI4 at its relaxed geometry (PBE).

- E_form (uncorrected) (meV per atom) = -763
- size of the total moment (μB per atom) = 0.00
- energy above the lowest structure with this stoichiometry (meV/atom) = 28

Cell lengths 7.964, 7.964, 7.964 Å; angles 131.49, 131.49, 71.03 degrees
Element x y z (fractional)
Li1 0.250 0.750 0.500
Li2 0.750 0.250 0.500
Ge1 0.000 0.000 0.000
I1 0.131 0.613 0.000
I2 0.387 0.387 0.517
I3 0.613 0.131 0.000
I4 0.869 0.869 0.483

(4)
Entry from the Alexandria database: crystalline Na2MgSn6 at its relaxed geometry (PBE).

- size of the total moment (μB per atom) = 0.00
- energy above the lowest structure with this stoichiometry (meV/atom) = 0
- DFT formation energy (kJ/mol of atoms) = -10

Cell lengths 6.725, 6.725, 6.451 Å; angles 92.10, 92.10, 62.08 degrees
Element x y z (fractional)
Na1 0.168 0.168 0.153
Na2 0.832 0.832 0.847
Mg1 0.500 0.500 0.000
Sn1 0.140 0.685 0.320
Sn2 0.315 0.860 0.680
Sn3 0.322 0.322 0.652
Sn4 0.678 0.678 0.348
Sn5 0.685 0.140 0.320
Sn6 0.860 0.315 0.680